Density functional theory data (PBE-GGA) for TaZnCd2O6 after structural relaxation.

Structure (POSCAR):
```
TaZnCd2O6
1.0
5.371 0.000 0.000
0.000 5.574 0.000
-5.290 0.000 8.186
Ta Zn Cd O
2 2 4 12
direct
0.000 0.000 0.000
0.000 0.500 0.500
0.500 0.000 0.500
0.500 0.500 0.000
0.273 0.049 0.751
0.273 0.451 0.251
0.727 0.549 0.749
0.727 0.951 0.249
0.111 0.044 0.231
0.111 0.456 0.731
0.274 0.715 0.071
0.274 0.785 0.571
0.346 0.210 0.057
0.346 0.290 0.557
0.654 0.710 0.443
0.654 0.790 0.943
0.726 0.215 0.429
0.726 0.285 0.929
0.889 0.544 0.269
0.889 0.956 0.769
```

Calculated values
**Formation energy from raw total energies**: -1589 meV/atom
**Total energy**: -121.19 eV/cell